6
Lattice="2.9546 2.9860 2.9936 -1.8543 4.4495 1.8360 -1.0658 0.4724 5.0248" Properties=species:S:1:pos:R:3 comment="TaFeRe4 (PBE-GGA, relaxed)" sg="F-43m, No. 216" dos_ef_per_ev_fu=6.36 total_magnetization_mub_per_atom=0.38 ef_ev_per_atom=0.205 dft_energy_ev_per_atom=-11.4793 pbc="T T T"
Ta 0.0260 5.9309 7.3908
Fe 0.0000 0.0000 0.0000
Re 1.4965 4.4605 5.1933
Re -0.5222 3.1985 6.2132
Re -0.9181 5.1954 4.6121
Re 0.0130 2.9613 3.6903